Entry 1:
Entry from Alexandria via LeMat-Bulk: an optimized crystal structure of Pr2NdGaN (PBE).

As for the density of states at the Fermi level: 2.9 states/eV/cell.

The structure belongs to space group P4/mmm (No. 123); the cell edges are 5.0239, 5.0239 and 4.9774 Å and the angles 90.00°, 90.00° and 90.00°. The asymmetric unit holds Pr at (0.0000, 0.5000, 0.0000), Nd at (0.0000, 0.0000, 0.5000), Ga at (0.5000, 0.5000, 0.5000) and N at (0.0000, 0.0000, 0.0000).

=====

Entry 2:
Entry from Alexandria via LeMat-Bulk: an optimized crystal structure of NdGaRuN (PBE).

As for the density of states at the Fermi level: 7.9 states/eV/cell.

The structure belongs to space group P4/nmm (No. 129, origin choice 2); the cell edges are 3.7636, 3.7636 and 9.6182 Å and the angles 90.00°, 90.00° and 90.00°. The asymmetric unit holds Nd at (0.2500, 0.2500, 0.1349), Ga at (0.2500, 0.7500, 0.5000), Ru at (0.2500, 0.2500, 0.6808) and N at (0.2500, 0.2500, 0.8862).

=====

Entry 3:
Entry from Alexandria via LeMat-Bulk: an optimized crystal structure of Nd2SmGaN (PBE).

As for the density of states at the Fermi level: 2.7 states/eV/cell.

The structure belongs to space group P4/mmm (No. 123); the cell edges are 4.9760, 4.9760 and 4.8959 Å and the angles 90.00°, 90.00° and 90.00°. The asymmetric unit holds Nd at (0.0000, 0.5000, 0.0000), Sm at (0.0000, 0.0000, 0.5000), Ga at (0.5000, 0.5000, 0.5000) and N at (0.0000, 0.0000, 0.0000).

=====

Entry 4:
Entry from Alexandria via LeMat-Bulk: an optimized crystal structure of NdSm2GaN4 (PBE).

The structure belongs to space group Cmcm (No. 63); the cell edges are 3.4897, 11.7585 and 12.0499 Å and the angles 90.00°, 90.00° and 90.00°. The asymmetric unit holds Nd at (0.0000, 0.1081, 0.2500), Sm at (0.0000, 0.3692, 0.0442), Ga at (0.0000, 0.1620, 0.7500), N at (0.0000, 0.0000, 0.0000), N at (0.0000, 0.2695, 0.6278) and N at (0.0000, 0.4386, 0.2500).

=====

Entry 5:
Entry from Alexandria via LeMat-Bulk: an optimized crystal structure of Nd2TaGaN5 (PBE).

As for the density of states at the Fermi level: 22.2 states/eV/cell.

The structure belongs to space group Cmc2_1 (No. 36); the cell edges are 3.2977, 14.0193 and 10.2799 Å and the angles 90.00°, 90.00° and 90.00°. The asymmetric unit holds Nd at (0.0000, 0.1146, 0.0000), Nd at (0.0000, 0.1295, 0.5870), Ta at (0.0000, 0.2195, 0.3004), Ga at (0.0000, 0.4873, 0.7711), N at (0.0000, 0.0611, 0.3401), N at (0.0000, 0.2868, 0.9382), N at (0.0000, 0.2992, 0.6714), N at (0.0000, 0.3624, 0.3012) and N at (0.0000, 0.5004, 0.0814).

=====

Entry 6:
Entry from Alexandria via LeMat-Bulk: an optimized crystal structure of Tb2NdGaN (PBE).

As for the density of states at the Fermi level: 2.4 states/eV/cell.

The structure belongs to space group P4/mmm (No. 123); the cell edges are 4.7912, 4.7912 and 4.9662 Å and the angles 90.00°, 90.00° and 90.00°. The asymmetric unit holds Tb at (0.0000, 0.5000, 0.0000), Nd at (0.0000, 0.0000, 0.5000), Ga at (0.5000, 0.5000, 0.5000) and N at (0.0000, 0.0000, 0.0000).

=====

For reference, formation energy from raw total energies by record: -377 -221 -399 -839 -779 -434 kJ/mol of formula units.